(one)
A plane-wave DFT calculation with PBE was carried out for a geometry-optimized LiNiRu2 structure.

## Properties
For the density of states at the Fermi level, the calculation gives 4.807 states/eV/f.u.

a b c (Å): 4.4497 4.4497 4.4497
angles (deg): 130.27 130.27 72.97
Last column: nearest neighbours and their distance in Å.
Element x y z (fractional)
Li 0.5000 0.5000 0.0000  8 Ru 2.59-2.65, 4 Ni 2.59
Ni 0.7500 0.2500 0.5000  4 Li 2.59, 8 Ru 2.59-2.65
Ru 0.0000 0.0000 0.0000  4 Ni 2.59, 4 Ru 2.59, 4 Li 2.65
Ru 0.2500 0.7500 0.5000  4 Li 2.59, 4 Ru 2.59, 4 Ni 2.65

(two)
A plane-wave DFT calculation with PBE was carried out for a geometry-optimized LiNiRu2 structure.

## Properties
For the density of states at the Fermi level, the calculation gives 5.415 states/eV/f.u.

a b c (Å): 2.6173 2.6173 8.8138
angles (deg): 90.00 90.00 116.82
Last column: nearest neighbours and their distance in Å.
Element x y z (fractional)
Ni 0.5000 0.5000 0.7501  2 Li 2.52, 2 Ru 2.54, 6 Ni 2.62-2.74
Li 0.0000 0.0000 0.5097  2 Ni 2.52, 6 Li 2.62-2.74, 2 Ru 2.69
Ru 0.0000 0.0000 0.9931  2 Ni 2.54, 8 Ru 2.62-2.74
Ru 0.5000 0.5000 0.2470  8 Ru 2.62-2.74, 2 Li 2.69

(three)
A plane-wave DFT calculation with PBE was carried out for a geometry-optimized LiNiRu2 structure.

## Properties
For the density of states at the Fermi level, the calculation gives 5.469 states/eV/f.u.

a b c (Å): 4.1593 4.1593 4.1593
angles (deg): 60.00 60.00 60.00
Last column: nearest neighbours and their distance in Å.
Element x y z (fractional)
Li 0.5000 0.5000 0.5000  4 Ni 2.55, 4 Ru 2.55
Ru 0.7500 0.7500 0.7500  4 Ru 2.55, 4 Li 2.55
Ru 0.0000 0.0000 0.0000  4 Ru 2.55, 4 Ni 2.55
Ni 0.2500 0.2500 0.2500  4 Ru 2.55, 4 Li 2.55

(four)
A plane-wave DFT calculation with PBE was carried out for a geometry-optimized LiNiRu2 structure.

## Properties
For the density of states at the Fermi level, the calculation gives 3.904 states/eV/f.u.

a b c (Å): 3.9229 3.5955 3.5955
angles (deg): 90.00 90.00 90.00
Last column: nearest neighbours and their distance in Å.
Element x y z (fractional)
Ru 0.0000 0.0000 0.0000  4 Ru 2.54, 4 Li 2.66, 4 Ni 2.66
Ni 0.5000 0.0000 0.5000  4 Li 2.54, 8 Ru 2.66
Li 0.5000 0.5000 0.0000  4 Ni 2.54, 8 Ru 2.66
Ru 0.0000 0.5000 0.5000  4 Ru 2.54, 4 Li 2.66, 4 Ni 2.66

The computed energies, referenced to the most stable structure and given in meV per atom, are (one) 0; (two) 146; (three) 40; (four) 95.

(one)
A plane-wave DFT calculation with PBE was carried out for a geometry-optimized Li2Ni2Ru structure.

## Properties
For the density of states at the Fermi level, the calculation gives 4.435 states/eV/f.u.

a b c (Å): 6.6345 6.6345 2.5621
angles (deg): 90.00 90.00 90.00
Last column: nearest neighbours and their distance in Å.
Element x y z (fractional)
Ni 0.3099 0.1901 0.5000  6 Li 2.24-2.44
Ni 0.6901 0.8099 0.5000  6 Li 2.24-2.44
Li 0.6138 0.1138 0.0000  1 Li 2.14, 2 Ni 2.24
Ni 0.8099 0.3099 0.5000  6 Li 2.24-2.44
Li 0.3862 0.8862 0.0000  1 Li 2.14, 2 Ni 2.24
Li 0.8862 0.6138 0.0000  1 Li 2.14, 2 Ni 2.24
Ru 0.5000 0.5000 0.0000  2 Ru 2.56, 4 Li 2.67, 8 Ni 2.73
Ni 0.1901 0.6901 0.5000  6 Li 2.24-2.44
Li 0.1138 0.3862 0.0000  1 Li 2.14, 2 Ni 2.24
Ru 0.0000 0.0000 0.0000  2 Ru 2.56, 4 Li 2.67, 8 Ni 2.73

(two)
A plane-wave DFT calculation with PBE was carried out for a geometry-optimized Li2Ni2Ru structure.

## Properties
For the density of states at the Fermi level, the calculation gives 4.608 states/eV/f.u.

a b c (Å): 6.7744 6.7744 2.5413
angles (deg): 90.00 90.00 90.00
Last column: nearest neighbours and their distance in Å.
Element x y z (fractional)
Ru 0.5000 0.5000 0.0000  2 Ru 2.54, 4 Ni 2.67, 8 Li 2.81
Li 0.1722 0.6722 0.5000  6 Ni 2.31-2.41, 2 Li 2.54
Ni 0.6265 0.1265 0.0000  6 Li 2.31-2.41, 3 Ni 2.42-2.54
Ni 0.1265 0.3735 0.0000  6 Li 2.31-2.41, 3 Ni 2.42-2.54
Li 0.6722 0.8278 0.5000  6 Ni 2.31-2.41, 2 Li 2.54
Ni 0.8735 0.6265 0.0000  6 Li 2.31-2.41, 3 Ni 2.42-2.54
Li 0.8278 0.3278 0.5000  6 Ni 2.31-2.41, 2 Li 2.54
Ru 0.0000 0.0000 0.0000  2 Ru 2.54, 4 Ni 2.67, 8 Li 2.81
Li 0.3278 0.1722 0.5000  6 Ni 2.31-2.41, 2 Li 2.54
Ni 0.3735 0.8735 0.0000  6 Li 2.31-2.41, 3 Ni 2.42-2.54

The computed energies, referenced to the most stable structure and given in meV per atom, are (one) 0; (two) 102.

(one)
A plane-wave DFT calculation with PBE was carried out for a geometry-optimized LiNi2S2 structure.

## Properties
For the density of states at the Fermi level, the calculation gives 2.564 states/eV/f.u.

a b c (Å): 6.0401 6.9103 7.4696
angles (deg): 62.44 90.00 90.00
Last column: nearest neighbours and their distance in Å.
Element x y z (fractional)
S 0.2262 0.5944 0.8107  4 Ni 2.22-2.25, 1 Li 2.47
Ni 0.3584 0.4312 0.6370  4 S 2.22-2.25
Li 0.9998 0.2503 0.5000  6 S 2.47-2.70, 2 Ni 2.55
Li 0.5002 0.2503 0.0000  6 S 2.47-2.70, 2 Ni 2.55
Ni 0.3583 0.9313 0.6369  4 S 2.22-2.25
Ni 0.1417 0.9313 0.1369  4 S 2.22-2.25
S 0.7739 0.9056 0.1893  4 Ni 2.22-2.25, 1 Li 2.47
S 0.7262 0.4056 0.6893  4 Ni 2.22-2.25, 1 Li 2.47
Ni 0.6417 0.0687 0.3631  4 S 2.22-2.25
S 0.2261 0.0944 0.8107  4 Ni 2.22-2.25, 1 Li 2.47
Li 0.0002 0.7497 0.5000  6 S 2.47-2.70, 2 Ni 2.55
Ni 0.8583 0.0687 0.8631  4 S 2.22-2.25
S 0.7738 0.4056 0.1893  4 Ni 2.22-2.25, 1 Li 2.47
Li 0.4998 0.7497 0.0000  6 S 2.47-2.70, 2 Ni 2.55
S 0.7261 0.9056 0.6893  4 Ni 2.22-2.25, 1 Li 2.47
S 0.2739 0.0944 0.3107  4 Ni 2.22-2.25, 1 Li 2.47
Ni 0.8584 0.5688 0.8630  4 S 2.22-2.25
S 0.2738 0.5944 0.3107  4 Ni 2.22-2.25, 1 Li 2.47
Ni 0.1416 0.4312 0.1370  4 S 2.22-2.25
Ni 0.6416 0.5688 0.3630  4 S 2.22-2.25

(two)
A plane-wave DFT calculation with PBE was carried out for a geometry-optimized LiNi2S2 structure.

## Properties
For the density of states at the Fermi level, the calculation gives 2.214 states/eV/f.u.

a b c (Å): 4.3447 4.3447 4.9963
angles (deg): 64.23 64.23 90.00
Last column: nearest neighbours and their distance in Å.
Element x y z (fractional)
S 0.7500 0.2500 0.5000  4 Ni 2.26
Ni 0.3311 0.3311 0.3378  4 S 2.26
Li 0.0000 0.0000 0.0000  2 Ni 2.61
S 0.2500 0.7500 0.5000  4 Ni 2.26
Ni 0.6689 0.6689 0.6622  4 S 2.26

The computed energies, referenced to the most stable structure and given in meV per atom, are (one) 0; (two) 250.

(one)
A plane-wave DFT calculation with PBE was carried out for a geometry-optimized LiNi2S2 structure.

## Properties
For the density of states at the Fermi level, the calculation gives 6.076 states/eV/f.u.

a b c (Å): 6.5433 6.5433 3.0499
angles (deg): 90.00 90.00 90.00
Last column: nearest neighbours and their distance in Å.
Element x y z (fractional)
Li 0.0000 0.0000 0.0000  4 S 2.43
Li 0.5000 0.5000 0.0000  4 S 2.43
Ni 0.3572 0.1428 0.5000  6 S 2.31-2.56
S 0.8303 0.6697 0.0000  6 Ni 2.31-2.56, 2 Li 2.43
S 0.3303 0.8303 0.0000  6 Ni 2.31-2.56, 2 Li 2.43
Ni 0.1428 0.6428 0.5000  6 S 2.31-2.56
Ni 0.8572 0.3572 0.5000  6 S 2.31-2.56
S 0.6697 0.1697 0.0000  6 Ni 2.31-2.56, 2 Li 2.43
Ni 0.6428 0.8572 0.5000  6 S 2.31-2.56
S 0.1697 0.3303 0.0000  6 Ni 2.31-2.56, 2 Li 2.43

(two)
A plane-wave DFT calculation with PBE was carried out for a geometry-optimized LiNi2S2 structure.

## Properties
For the density of states at the Fermi level, the calculation gives 5.064 states/eV/f.u.

a b c (Å): 3.6940 3.6940 6.1149
angles (deg): 72.42 72.42 90.00
Last column: nearest neighbours and their distance in Å.
Element x y z (fractional)
S 0.6345 0.6345 0.7309  4 Ni 2.25
S 0.3655 0.3655 0.2691  4 Ni 2.25
Li 0.0000 0.0000 0.0000  8 S 3.01, 8 Ni 3.32
Ni 0.7500 0.2500 0.5000  4 S 2.25
Ni 0.2500 0.7500 0.5000  4 S 2.25

(three)
A plane-wave DFT calculation with PBE was carried out for a geometry-optimized LiNi2S2 structure.

## Properties
For the density of states at the Fermi level, the calculation gives 4.296 states/eV/f.u.

a b c (Å): 3.6567 3.6567 6.1821
angles (deg): 90.00 90.00 120.00
Last column: nearest neighbours and their distance in Å.
Element x y z (fractional)
Ni 0.3333 0.6667 0.3725  4 S 2.22-2.28
Ni 0.6667 0.3333 0.6275  4 S 2.22-2.28
S 0.3333 0.6667 0.7409  4 Ni 2.22-2.28
S 0.6667 0.3333 0.2591  4 Ni 2.22-2.28
Li 0.0000 0.0000 0.0000  6 S 2.65

The computed energies, referenced to the most stable structure and given in meV per atom, are (one) 311; (two) 111; (three) 0.

(one)
A plane-wave DFT calculation with PBE was carried out for a geometry-optimized LiZrNiSb2 structure.

## Properties
For the density of states at the Fermi level, the calculation gives 4.025 states/eV/f.u.

a b c (Å): 4.9927 4.1743 4.9927
angles (deg): 90.00 90.00 90.00
Last column: nearest neighbours and their distance in Å.
Element x y z (fractional)
Sb 0.5000 0.0000 0.0000  2 Ni 2.50
Ni 0.0000 0.0000 0.0000  2 Li 2.09
Zr 0.5000 0.5000 0.5000  8 Sb 3.25, 4 Li 3.53
Li 0.0000 0.5000 0.0000  2 Ni 2.09
Sb 0.0000 0.0000 0.5000  2 Ni 2.50

(two)
A plane-wave DFT calculation with PBE was carried out for a geometry-optimized LiZrNiSb2 structure.

## Properties
For the density of states at the Fermi level, the calculation gives 4.596 states/eV/f.u.

a b c (Å): 5.4564 5.1856 5.4564
angles (deg): 90.00 90.00 90.00
Last column: nearest neighbours and their distance in Å.
Element x y z (fractional)
Ni 0.5000 0.5000 0.5000  8 Sb 3.76, 4 Li 3.86
Zr 0.0000 0.0000 0.0000  2 Li 2.59, 4 Sb 2.73
Sb 0.0000 0.0000 0.5000  2 Zr 2.73
Sb 0.5000 0.0000 0.0000  2 Zr 2.73
Li 0.0000 0.5000 0.0000  2 Zr 2.59

The computed energies, referenced to the most stable structure and given in meV per atom, are (one) 0; (two) 934.